DyCdN GGA-PBE relaxed; space group = R-3m; E = -32.5 eV per cell
1.0
3.889 0.000 0.000
1.944 3.368 0.000
1.944 1.123 10.579
Dy N Cd
2 2 2
direct
0.294 0.294 0.119
0.706 0.706 0.881
0.366 0.366 0.903
0.634 0.634 0.097
0.869 0.869 0.393
0.131 0.131 0.607

***

Dy3CdN GGA-PBE relaxed; space group = Pm-3m; E = -27.3 eV per cell
1.0
4.828 0.000 0.000
0.000 4.828 0.000
0.000 0.000 4.828
N Cd Dy
1 1 3
direct
0.000 0.000 0.000
0.500 0.500 0.500
0.000 0.500 0.000
0.000 0.000 0.500
0.500 0.000 0.000

***

NdDy2CdN GGA-PBE relaxed; space group = P4/mmm; E = -27.2 eV per cell
1.0
5.054 0.000 0.000
0.000 4.830 0.000
0.000 0.000 4.830
Nd Dy Cd N
1 2 1 1
direct
0.500 0.000 0.000
0.000 0.000 0.500
0.000 0.500 0.000
0.500 0.500 0.500
0.000 0.000 0.000

***

Dy6Cd2NO GGA-PBE relaxed; space group = Fm-3m; E = -107.5 eV per cell
1.0
6.800 0.000 0.000
0.000 6.800 0.000
0.000 0.000 9.617
Dy Cd N O
12 4 2 2
direct
0.500 0.250 0.252
0.500 0.250 0.748
0.000 0.750 0.248
0.000 0.750 0.752
0.252 0.002 0.500
0.748 0.002 0.500
0.252 0.498 0.500
0.748 0.498 0.500
0.752 0.502 0.000
0.248 0.502 0.000
0.248 0.998 0.000
0.752 0.998 0.000
0.500 0.750 0.250
0.000 0.250 0.750
0.500 0.750 0.750
0.000 0.250 0.250
0.500 0.250 0.500
0.000 0.750 0.000
0.000 0.750 0.500
0.500 0.250 0.000

***

Pm2DyCdN GGA-PBE relaxed; space group = P4/mmm; E = -27.2 eV per cell
1.0
4.791 0.000 0.000
0.000 5.022 0.000
0.000 0.000 5.022
Pm Dy Cd N
2 1 1 1
direct
0.000 0.000 0.500
0.000 0.500 0.000
0.500 0.000 0.000
0.500 0.500 0.500
0.000 0.000 0.000

***

DySc2CdN GGA-PBE relaxed; space group = P4/mmm; E = -31.1 eV per cell
1.0
4.794 0.000 0.000
0.000 4.510 0.000
0.000 0.000 4.510
Dy Sc Cd N
1 2 1 1
direct
0.500 0.000 0.000
0.000 0.000 0.500
0.000 0.500 0.000
0.500 0.500 0.500
0.000 0.000 0.000

***

Question: Among the records above, which one has the lowest E?
Answer: Dy6Cd2NO

***

Question: Which value of E does entry 4 give?
Answer: -107.5 eV per cell